# Pa2MoO8 | Alexandria | GGA+U | optimized geometry
data_Pa2MoO8
_chemical_formula_sum 'Pa2 Mo1 O8'
_cell_length_a 4.457
_cell_length_b 6.384
_cell_length_c 6.910
_cell_angle_alpha 86.43
_cell_angle_beta 105.10
_cell_angle_gamma 122.11
_symmetry_space_group_name_H-M 'P 1'
_symmetry_Int_Tables_number 1
loop_
_symmetry_equiv_pos_as_xyz
'x,y,z'
loop_
_atom_site_label
_atom_site_type_symbol
_atom_site_fract_x
_atom_site_fract_y
_atom_site_fract_z
Pa1 Pa 0.838 0.468 0.717
Pa2 Pa 0.220 0.515 0.276
Mo1 Mo 0.448 0.012 0.006
O1 O 0.357 0.906 0.254
O2 O 0.632 0.358 0.020
O3 O 0.767 0.541 0.404
O4 O 0.991 0.852 0.827
O5 O 0.276 0.444 0.594
O6 O 0.350 0.653 0.982
O7 O 0.634 0.098 0.756
O8 O 0.986 0.154 0.164
# * VASP energy: -95.241 eV/cell
# * space group: P1